Y3HoBi2C: optimized geometry, PBE.

As for the total energy: -6.5190 eV/atom. The value obtained for the formation energy from the elements is -0.668 eV per atom. The density of states at the Fermi level comes out at 0.8378 states/eV per atom.

It has space group Immm (No. 71), with a = 4.8380 Å, b = 4.8608 Å, c = 16.0267 Å, α = 90.00°, β = 90.00° and γ = 90.00°. The distinct sites, in fractional coordinates, are Y at (0.0000, 0.0000, 0.0000), Y at (0.0000, 0.5000, 0.1535), Ho at (0.0000, 0.0000, 0.5000), Bi at (0.0000, 0.5000, 0.3557) and C at (0.0000, 0.5000, 0.0000).

---

CeTm2Co3: optimized geometry, PBE.

As for the total energy: -6.0455 eV/atom. The value obtained for the formation energy from the elements is -0.013 eV per atom. The density of states at the Fermi level comes out at 0.5800 states/eV per atom.

It has space group Immm (No. 71), with a = 4.1874 Å, b = 5.3288 Å, c = 10.4743 Å, α = 90.00°, β = 90.00° and γ = 90.00°. The distinct sites, in fractional coordinates, are Ce at (0.0000, 0.0000, 0.0000), Tm at (0.0000, 0.0000, 0.3272), Co at (0.0000, 0.5000, 0.0000) and Co at (0.0000, 0.5000, 0.3751).

---

NaCrBr4: optimized geometry, PBE.

The value obtained for the energy relative to the lowest polymorph listed for this composition is 32 meV/atom. As for the total energy: -3.8992 eV/atom.

It has space group C2/c (No. 15), with a = 8.2804 Å, b = 16.7417 Å, c = 6.6135 Å, α = 90.00°, β = 122.41° and γ = 90.00°. The distinct sites, in fractional coordinates, are Na at (0.0000, 0.0844, 0.2500), Cr at (0.0000, 0.4377, 0.7500), Br at (0.2040, 0.4517, 0.2069) and Br at (0.2074, 0.3336, 0.7538).

---

Mg3PaRu4: optimized geometry, PBE.

As for the total energy: -6.6611 eV/atom. The value obtained for the formation energy from the elements is -0.238 eV per atom. The density of states at the Fermi level comes out at 0.7733 states/eV per atom.

It has space group I4/mmm (No. 139), with a = 4.5330 Å, b = 4.5330 Å, c = 12.6767 Å, α = 90.00°, β = 90.00° and γ = 90.00°. The distinct sites, in fractional coordinates, are Mg at (0.0000, 0.0000, 0.0000), Mg at (0.0000, 0.0000, 0.2443), Pa at (0.0000, 0.0000, 0.5000) and Ru at (0.0000, 0.5000, 0.1213).

---

BeRu2: optimized geometry, PBE.

As for the total energy: -7.5663 eV/atom. The value obtained for the formation energy from the elements is -0.140 eV per atom. The density of states at the Fermi level comes out at 1.0695 states/eV per atom.

It has space group I4/mcm (No. 140), with a = 5.5987 Å, b = 5.5987 Å, c = 4.5206 Å, α = 90.00°, β = 90.00° and γ = 90.00°. The distinct sites, in fractional coordinates, are Be at (0.0000, 0.0000, 0.2500) and Ru at (0.1579, 0.3421, 0.0000).

---

Li2BeNi: optimized geometry, PBE.

As for the total energy: -3.2960 eV/atom. The value obtained for the formation energy from the elements is 0.038 eV per atom. The density of states at the Fermi level comes out at 0.3288 states/eV per atom.

It has space group Cm (No. 8), with a = 7.9778 Å, b = 2.5003 Å, c = 4.6553 Å, α = 90.00°, β = 99.13° and γ = 90.00°. The distinct sites, in fractional coordinates, are Li at (0.0000, 0.0000, 0.0000), Li at (0.2364, 0.0000, 0.7587), Be at (0.2517, 0.5000, 0.3106) and Ni at (0.4815, 0.0000, 0.4580).

---

Li8Cu3Pd3: optimized geometry, PBE.

As for the total energy: -3.2464 eV/atom. The value obtained for the formation energy from the elements is -0.162 eV per atom. The density of states at the Fermi level comes out at 0.3423 states/eV per atom.

It has space group Immm (No. 71), with a = 4.1569 Å, b = 9.3963 Å, c = 10.0931 Å, α = 90.00°, β = 90.00° and γ = 90.00°. The distinct sites, in fractional coordinates, are Li at (0.0000, 0.1216, 0.1318), Li at (0.0000, 0.2260, 0.3623), Cu at (0.0000, 0.0000, 0.5000), Cu at (0.0000, 0.3625, 0.0000), Pd at (0.0000, 0.5000, 0.2223) and Pd at (0.0000, 0.5000, 0.5000).

---

Er2GaHg2: optimized geometry, PBE.

The value obtained for the energy relative to the lowest polymorph listed for this composition is 56 meV/atom. As for the total energy: -2.9408 eV/atom. The value obtained for the formation energy from the elements is -0.390 eV per atom. The density of states at the Fermi level comes out at 0.6000 states/eV per atom.

It has space group Cmmm (No. 65), with a = 3.4599 Å, b = 20.7221 Å, c = 3.4066 Å, α = 90.00°, β = 90.00° and γ = 90.00°. The distinct sites, in fractional coordinates, are Er at (0.0000, 0.0903, 0.0000), Ga at (0.0000, 0.5000, 0.5000) and Hg at (0.0000, 0.3101, 0.5000).

---

KTlGa: optimized geometry, PBE.

The value obtained for the energy relative to the lowest polymorph listed for this composition is 60 meV/atom. As for the total energy: -2.1974 eV/atom. The value obtained for the formation energy from the elements is -0.034 eV per atom. The density of states at the Fermi level comes out at 0.2325 states/eV per atom.

It has space group P-6m2 (No. 187), with a = 4.9156 Å, b = 4.9156 Å, c = 4.8357 Å, α = 90.00°, β = 90.00° and γ = 120.00°. The distinct sites, in fractional coordinates, are K at (0.0000, 0.0000, 0.0000), Tl at (0.6667, 0.3333, 0.5000) and Ga at (0.3333, 0.6667, 0.5000).

---

GaMo2: optimized geometry, PBE.

The value obtained for the energy relative to the lowest polymorph listed for this composition is 64 meV/atom. As for the total energy: -8.2518 eV/atom. The value obtained for the formation energy from the elements is -0.022 eV per atom. The density of states at the Fermi level comes out at 0.5804 states/eV per atom.

It has space group Fmm2 (No. 42), with a = 3.1296 Å, b = 13.0825 Å, c = 4.6552 Å, α = 90.00°, β = 90.00° and γ = 90.00°. The distinct sites, in fractional coordinates, are Ga at (0.0000, 0.0000, 0.0000) and Mo at (0.0000, 0.1682, 0.3613).

---

Ac2Tb: optimized geometry, PBE.

The value obtained for the energy relative to the lowest polymorph listed for this composition is 72 meV/atom. As for the total energy: -4.1554 eV/atom. The value obtained for the formation energy from the elements is 0.127 eV per atom. The density of states at the Fermi level comes out at 2.3940 states/eV per atom.

It has space group Fmmm (No. 69), with a = 6.2729 Å, b = 6.2906 Å, c = 12.3385 Å, α = 90.00°, β = 90.00° and γ = 90.00°. The distinct sites, in fractional coordinates, are Ac at (0.0000, 0.0000, 0.1553) and Tb at (0.0000, 0.0000, 0.5000).

---

CaTl8Cd5: optimized geometry, PBE.

As for the total energy: -1.7998 eV/atom. The value obtained for the formation energy from the elements is 0.022 eV per atom. The density of states at the Fermi level comes out at 0.5285 states/eV per atom.

It has space group I-4 (No. 82), with a = 9.4442 Å, b = 9.4442 Å, c = 9.1169 Å, α = 90.00°, β = 90.00° and γ = 90.00°. The distinct sites, in fractional coordinates, are Ca at (0.0000, 0.0000, 0.0000), Tl at (0.0678, 0.1689, 0.6745), Tl at (0.0911, 0.3321, 0.0260), Cd at (0.0000, 0.5000, 0.7500) and Cd at (0.1252, 0.2784, 0.3569).

---

DyYGaCo: optimized geometry, PBE.

The value obtained for the energy relative to the lowest polymorph listed for this composition is 0 meV/atom. As for the total energy: -5.6903 eV/atom. The value obtained for the formation energy from the elements is -0.391 eV per atom. The density of states at the Fermi level comes out at 0.8468 states/eV per atom.

It has space group Amm2 (No. 38), with a = 4.2244 Å, b = 3.8765 Å, c = 10.6485 Å, α = 90.00°, β = 90.00° and γ = 90.00°. The distinct sites, in fractional coordinates, are Dy at (0.0000, 0.0000, 0.0000), Y at (0.5000, 0.0000, 0.2829), Ga at (0.0000, 0.0000, 0.7066) and Co at (0.5000, 0.0000, 0.5772).

---

MnIn2Rh2: optimized geometry, PBE.

As for the total energy: -5.1560 eV/atom. The value obtained for the formation energy from the elements is 0.714 eV per atom. The density of states at the Fermi level comes out at 1.2068 states/eV per atom.

It has space group I4/mmm (No. 139), with a = 3.9645 Å, b = 3.9645 Å, c = 12.2927 Å, α = 90.00°, β = 90.00° and γ = 90.00°. The distinct sites, in fractional coordinates, are Mn at (0.0000, 0.0000, 0.0000), In at (0.0000, 0.5000, 0.2500) and Rh at (0.0000, 0.0000, 0.4004).

---

Pr4Dy2Tl3H2: optimized geometry, PBE.

As for the total energy: -4.0839 eV/atom. The density of states at the Fermi level comes out at 0.8241 states/eV per atom.

It has space group I4/mmm (No. 139), with a = 4.8540 Å, b = 4.8540 Å, c = 25.4703 Å, α = 90.00°, β = 90.00° and γ = 90.00°. The distinct sites, in fractional coordinates, are Pr at (0.0000, 0.5000, 0.0874), Dy at (0.0000, 0.0000, 0.2008), Tl at (0.0000, 0.0000, 0.3223), Tl at (0.0000, 0.0000, 0.5000) and H at (0.0000, 0.0000, 0.1098).

---

Tb2Ho2Th: optimized geometry, PBE.

The value obtained for the energy relative to the lowest polymorph listed for this composition is 154 meV/atom. As for the total energy: -4.9618 eV/atom. The value obtained for the formation energy from the elements is 0.205 eV per atom. The density of states at the Fermi level comes out at 1.1832 states/eV per atom.

It has space group Imma (No. 74), with a = 5.7068 Å, b = 11.8007 Å, c = 10.0589 Å, α = 90.00°, β = 90.00° and γ = 90.00°. The distinct sites, in fractional coordinates, are Tb at (0.0000, 0.0734, 0.1477), Ho at (0.0000, 0.1134, 0.5649) and Th at (0.0000, 0.2500, 0.8524).

---

Ti2V4W: optimized geometry, PBE.

The value obtained for the energy relative to the lowest polymorph listed for this composition is 995 meV/atom. As for the total energy: -8.1496 eV/atom. The value obtained for the formation energy from the elements is 1.167 eV per atom. The density of states at the Fermi level comes out at 1.8446 states/eV per atom.

It has space group I4/mmm (No. 139), with a = 4.5354 Å, b = 4.5354 Å, c = 13.2255 Å, α = 90.00°, β = 90.00° and γ = 90.00°. The distinct sites, in fractional coordinates, are Ti at (0.0000, 0.0000, 0.1137), V at (0.0000, 0.0000, 0.3156), V at (0.0000, 0.5000, 0.0000) and W at (0.0000, 0.0000, 0.5000).

---

Tb9Pm2Sm: optimized geometry, PBE.

The value obtained for the energy relative to the lowest polymorph listed for this composition is 0 meV/atom. As for the total energy: -4.6397 eV/atom. The value obtained for the formation energy from the elements is 0.018 eV per atom. The density of states at the Fermi level comes out at 1.5550 states/eV per atom.

It has space group P4/mmm (No. 123), with a = 5.0623 Å, b = 5.0623 Å, c = 15.1870 Å, α = 90.00°, β = 90.00° and γ = 90.00°. The distinct sites, in fractional coordinates, are Tb at (0.0000, 0.0000, 0.0000), Tb at (0.0000, 0.0000, 0.3331), Tb at (0.0000, 0.5000, 0.1664), Tb at (0.0000, 0.5000, 0.5000), Pm at (0.5000, 0.5000, 0.3332) and Sm at (0.5000, 0.5000, 0.0000).

---

CaGa: optimized geometry, PBE.

As for the total energy: -2.5343 eV/atom. The value obtained for the formation energy from the elements is -0.020 eV per atom.

It has space group I-43m (No. 217), with a = 8.9022 Å, b = 8.9022 Å, c = 8.9022 Å, α = 90.00°, β = 90.00° and γ = 90.00°. The distinct sites, in fractional coordinates, are Ca at (0.2038, 0.2038, 0.2038) and Ga at (0.1071, 0.1071, 0.8929).

---

TlHg2Ru: optimized geometry, PBE.

The value obtained for the energy relative to the lowest polymorph listed for this composition is 151 meV/atom. As for the total energy: -2.5701 eV/atom. The value obtained for the formation energy from the elements is 0.491 eV per atom. The density of states at the Fermi level comes out at 0.5624 states/eV per atom.

It has space group R-3m (No. 166, hexagonal axes), with a = 3.2208 Å, b = 3.2208 Å, c = 29.3703 Å, α = 90.00°, β = 90.00° and γ = 120.00°. The distinct sites, in fractional coordinates, are Tl at (0.0000, 0.0000, 0.0000), Hg at (0.0000, 0.0000, 0.2400) and Ru at (0.0000, 0.0000, 0.5000).

---

MgAsPd2O: optimized geometry, PBE.

As for the total energy: -3.8895 eV/atom. The density of states at the Fermi level comes out at 1.0786 states/eV per atom.

It has space group P4/mmm (No. 123), with a = 4.6002 Å, b = 4.6002 Å, c = 5.0521 Å, α = 90.00°, β = 90.00° and γ = 90.00°. The distinct sites, in fractional coordinates, are Mg at (0.0000, 0.0000, 0.0000), As at (0.0000, 0.0000, 0.5000), Pd at (0.0000, 0.5000, 0.5000) and O at (0.5000, 0.5000, 0.0000).

---

Be2RuW: optimized geometry, PBE.

The value obtained for the energy relative to the lowest polymorph listed for this composition is 550 meV/atom. As for the total energy: -7.0369 eV/atom. The value obtained for the formation energy from the elements is 0.383 eV per atom. The density of states at the Fermi level comes out at 0.8108 states/eV per atom.

It has space group I-42d (No. 122), with a = 6.1955 Å, b = 6.1955 Å, c = 5.0998 Å, α = 90.00°, β = 90.00° and γ = 90.00°. The distinct sites, in fractional coordinates, are Be at (0.2345, 0.2500, 0.1250), Ru at (0.0000, 0.0000, 0.0000) and W at (0.0000, 0.0000, 0.5000).

---

Tb2Pm2Dy2Mg: optimized geometry, PBE.

As for the total energy: -4.1353 eV/atom. The value obtained for the formation energy from the elements is 0.088 eV per atom. The density of states at the Fermi level comes out at 1.1859 states/eV per atom.

It has space group C2/m (No. 12), with a = 12.1167 Å, b = 3.6661 Å, c = 11.5704 Å, α = 90.00°, β = 118.44° and γ = 90.00°. The distinct sites, in fractional coordinates, are Tb at (0.2471, 0.0000, 0.1289), Pm at (0.0292, 0.0000, 0.2450), Dy at (0.1797, 0.0000, 0.5857) and Mg at (0.0000, 0.5000, 0.0000).

---

CsK2Ag: optimized geometry, PBE.

The value obtained for the energy relative to the lowest polymorph listed for this composition is 47 meV/atom. As for the total energy: -1.3968 eV/atom. The value obtained for the formation energy from the elements is 0.078 eV per atom. The density of states at the Fermi level comes out at 0.7827 states/eV per atom.

It has space group P4/mmm (No. 123), with a = 4.4664 Å, b = 4.4664 Å, c = 11.9550 Å, α = 90.00°, β = 90.00° and γ = 90.00°. The distinct sites, in fractional coordinates, are Cs at (0.0000, 0.0000, 0.0000), K at (0.5000, 0.5000, 0.3425) and Ag at (0.0000, 0.0000, 0.5000).

---

Mn2PbI: optimized geometry, PBE.

The value obtained for the energy relative to the lowest polymorph listed for this composition is 182 meV/atom. As for the total energy: -4.5317 eV/atom. The density of states at the Fermi level comes out at 2.1271 states/eV per atom.

It has space group I-42d (No. 122), with a = 6.1498 Å, b = 6.1498 Å, c = 10.4735 Å, α = 90.00°, β = 90.00° and γ = 90.00°. The distinct sites, in fractional coordinates, are Mn at (0.2289, 0.2500, 0.1250), Pb at (0.0000, 0.0000, 0.5000) and I at (0.0000, 0.0000, 0.0000).